Record 1
Here is a geometry-optimized Pm3Pr6Tm2Mg structure from the Alexandria database. Energies are from GGA-PBE.

Cell: 6.3221 6.3221 11.8909 Å, 95.12 95.12 120.07°
Closest atoms and distances in Å follow each position.
Sites, in units of the cell vectors:
Pm 0.1670 0.8330 0.5000  6 Pm 3.64-3.66, 6 Pr 3.65-3.67
Pm 0.8330 0.1670 0.5000  6 Pm 3.64-3.66, 6 Pr 3.65-3.67
Pm 0.5000 0.5000 0.5000  6 Pm 3.65, 6 Pr 3.65-3.67
Pr 0.9198 0.5873 0.7564  1 Mg 3.54, 2 Tm 3.54-3.55, 6 Pr 3.64-3.66, 3 Pm 3.66-3.67
Pr 0.7479 0.7479 0.2452  2 Tm 3.56, 1 Mg 3.56, 6 Pr 3.64-3.66, 3 Pm 3.65
Pr 0.0802 0.4127 0.2436  1 Mg 3.54, 2 Tm 3.54-3.55, 6 Pr 3.64-3.66, 3 Pm 3.66-3.67
Pr 0.5873 0.9198 0.7564  1 Mg 3.54, 2 Tm 3.54-3.55, 6 Pr 3.64-3.66, 3 Pm 3.66-3.67
Pr 0.2521 0.2521 0.7548  2 Tm 3.56, 1 Mg 3.56, 6 Pr 3.64-3.66, 3 Pm 3.65
Pr 0.4127 0.0802 0.2436  1 Mg 3.54, 2 Tm 3.54-3.55, 6 Pr 3.64-3.66, 3 Pm 3.66-3.67
Tm 0.3336 0.6664 0.0000  6 Pr 3.54-3.56, 3 Tm 3.64-3.65, 3 Mg 3.65
Tm 0.6664 0.3336 0.0000  6 Pr 3.54-3.56, 3 Tm 3.64-3.65, 3 Mg 3.65
Mg 0.0000 0.0000 0.0000  6 Pr 3.54-3.56, 6 Tm 3.65

Summary:
Its density of states at the Fermi level is 14.00 states/eV per cell. Its formation energy is 0.4 eV/f.u.



Record 2
Here is a geometry-optimized Pm2Pr3Y6Mg structure from the Alexandria database. Energies are from GGA-PBE.

Cell: 6.2333 6.2333 11.9049 Å, 95.01 95.01 120.02°
Closest atoms and distances in Å follow each position.
Sites, in units of the cell vectors:
Pm 0.3338 0.6662 0.0000  6 Y 3.56, 3 Pm 3.59-3.60, 3 Mg 3.60
Pm 0.6662 0.3338 0.0000  6 Y 3.56, 3 Pm 3.59-3.60, 3 Mg 3.60
Pr 0.1659 0.8341 0.5000  6 Pr 3.58-3.61, 6 Y 3.61-3.64
Pr 0.8341 0.1659 0.5000  6 Pr 3.58-3.61, 6 Y 3.61-3.64
Pr 0.5000 0.5000 0.5000  6 Pr 3.59-3.61, 6 Y 3.62-3.63
Y 0.9183 0.5872 0.7538  1 Mg 3.55, 2 Pm 3.56, 6 Y 3.57-3.61, 3 Pr 3.62-3.64
Y 0.7508 0.7508 0.2470  1 Mg 3.56, 2 Pm 3.56, 6 Y 3.57-3.61, 3 Pr 3.61-3.63
Y 0.0817 0.4128 0.2462  1 Mg 3.55, 2 Pm 3.56, 6 Y 3.57-3.61, 3 Pr 3.62-3.64
Y 0.5872 0.9183 0.7538  1 Mg 3.55, 2 Pm 3.56, 6 Y 3.57-3.61, 3 Pr 3.62-3.64
Y 0.2492 0.2492 0.7530  1 Mg 3.56, 2 Pm 3.56, 6 Y 3.57-3.61, 3 Pr 3.61-3.63
Y 0.4128 0.0817 0.2462  1 Mg 3.55, 2 Pm 3.56, 6 Y 3.57-3.61, 3 Pr 3.62-3.64
Mg 0.0000 0.0000 0.0000  6 Y 3.55-3.56, 6 Pm 3.60

Summary:
Its density of states at the Fermi level is 18.35 states/eV per cell. Its formation energy is 0.3 eV/f.u.



- Which formula does entry 1 have?
  Pm3Pr6Tm2Mg